# 1
HfScAl | Alexandria via LeMat-Bulk | PBE | optimized geometry; distance to the lowest polymorph of the same formula = 0.2 kJ per mole of atoms; symmetry = P6_3/mmc, No. 194; crystal system = hexagonal
1.0
4.8492 0.0000 0.0000
-2.4246 4.1995 0.0000
0.0000 0.0000 6.0164
Hf Sc Al
2 2 2
direct
0.0000 0.0000 0.0000
0.0000 0.0000 0.5000
0.3333 0.6667 0.2500
0.6667 0.3333 0.7500
0.3333 0.6667 0.7500
0.6667 0.3333 0.2500

***

# 2
Hf2Sc5Al4 | Alexandria via LeMat-Bulk | PBE | optimized geometry; symmetry = P2/m, No. 10; crystal system = monoclinic
1.0
7.8441 0.0000 0.0000
0.0000 2.9767 0.0000
-1.0130 0.0000 9.7610
Hf Sc Al
2 5 4
direct
0.0794 0.0000 0.1392
0.9206 0.0000 0.8608
0.1656 0.0000 0.6483
0.4556 0.0000 0.1697
0.5000 0.0000 0.5000
0.5444 0.0000 0.8303
0.8344 0.0000 0.3517
0.1896 0.5000 0.3837
0.2478 0.5000 0.9299
0.7522 0.5000 0.0701
0.8104 0.5000 0.6163

***

Computed ΔE_f (kJ/mol of atoms) in order:
-27; -20
Computed size of the total moment (μB per formula unit) in order:
0.00; 0.68